# 1
This record from Alexandria describes Er2CuSi3 after structural relaxation. The functional is GGA-PBEsol.

Cell lengths 3.8922, 3.9883, 7.3930 Å; angles 105.65, 105.26, 90.00 degrees
Closest atoms and distances in Å follow each position.
Fractional coordinates of all 6 atoms:
Si: 0.1734 0.6734 0.3468  1 Cu 2.23, 2 Si 2.33
Si: 0.5797 0.5797 0.1594  3 Si 2.30-2.33
Er: 0.7460 0.2460 0.4921  8 Si 2.96-3.03, 4 Cu 3.05
Cu: 0.3362 0.8362 0.6725  3 Si 2.23-2.25
Er: 0.0029 0.0029 0.0058  10 Si 2.98-3.07, 2 Cu 3.00
Si: 0.4117 0.4117 0.8235  2 Cu 2.25, 1 Si 2.30

formation energy (no corrections)	-0.756	eV/atom
D(E_F)	1.8	states/eV/f.u.
total DFT energy (no corrections)	-36.0	eV/f.u.


# 2
This record from Alexandria describes ErCuSn after structural relaxation. The functional is GGA-PBEsol.

Cell lengths 4.4499, 4.4499, 7.0852 Å; angles 90.00, 90.00, 120.00 degrees
Closest atoms and distances in Å follow each position.
Fractional coordinates of all 6 atoms:
Er: 0.0000 0.0000 0.4999  3 Cu 2.85, 3 Sn 3.05
Sn: 0.3333 0.6667 0.2307  4 Cu 2.65-2.87
Sn: 0.6667 0.3333 0.7307  4 Cu 2.65-2.87
Cu: 0.6667 0.3333 0.3250  4 Sn 2.65-2.87, 3 Er 2.85
Cu: 0.3333 0.6667 0.8250  4 Sn 2.65-2.87, 3 Er 2.85
Er: 0.0000 0.0000 0.9999  3 Cu 2.85, 3 Sn 3.05

D(E_F)	0.3	states/eV/f.u.
total DFT energy (no corrections)	-15.4	eV/f.u.


# 3
This record from Alexandria describes ErCu5Sn after structural relaxation. The functional is GGA-PBEsol.

Cell lengths 4.8868, 8.0612, 10.4245 Å; angles 90.00, 90.00, 90.00 degrees
Closest atoms and distances in Å follow each position.
Fractional coordinates of all 28 atoms:
Cu: 0.2500 0.8165 0.2588  7 Cu 2.45-2.54
Cu: 0.0012 0.4305 0.8125  7 Cu 2.43-2.52, 1 Sn 2.71
Cu: 0.7500 0.6835 0.7588  7 Cu 2.45-2.54
Cu: 0.2500 0.0579 0.1015  4 Cu 2.52-2.54, 1 Sn 2.58
Cu: 0.0012 0.9305 0.6875  7 Cu 2.43-2.52, 1 Sn 2.71
Cu: 0.9988 0.0695 0.3125  7 Cu 2.43-2.52, 1 Sn 2.71
Cu: 0.7500 0.0844 0.5167  5 Cu 2.45-2.49
Er: 0.2500 0.2494 0.5631  10 Cu 2.82-3.12
Cu: 0.7500 0.9421 0.8985  4 Cu 2.52-2.54, 1 Sn 2.58
Cu: 0.7500 0.4421 0.6015  4 Cu 2.52-2.54, 1 Sn 2.58
Er: 0.7500 0.2506 0.0631  10 Cu 2.82-3.12
Cu: 0.4988 0.9305 0.6875  7 Cu 2.43-2.52, 1 Sn 2.71
Cu: 0.4988 0.4305 0.8125  7 Cu 2.43-2.52, 1 Sn 2.71
Cu: 0.9988 0.5695 0.1875  7 Cu 2.43-2.52, 1 Sn 2.71
Cu: 0.2500 0.4156 0.0167  5 Cu 2.45-2.49
Cu: 0.7500 0.5844 0.9833  5 Cu 2.45-2.49
Sn: 0.2500 0.6371 0.6387  8 Cu 2.58-2.77
Cu: 0.5012 0.5695 0.1875  7 Cu 2.43-2.52, 1 Sn 2.71
Cu: 0.2500 0.5579 0.3985  4 Cu 2.52-2.54, 1 Sn 2.58
Sn: 0.7500 0.8629 0.1387  8 Cu 2.58-2.77
Cu: 0.7500 0.1835 0.7412  7 Cu 2.45-2.54
Cu: 0.2500 0.9156 0.4833  5 Cu 2.45-2.49
Cu: 0.5012 0.0695 0.3125  7 Cu 2.43-2.52, 1 Sn 2.71
Sn: 0.7500 0.3629 0.3613  8 Cu 2.58-2.77
Cu: 0.2500 0.3165 0.2412  7 Cu 2.45-2.54
Sn: 0.2500 0.1371 0.8613  8 Cu 2.58-2.77
Er: 0.7500 0.7506 0.4369  10 Cu 2.82-3.12
Er: 0.2500 0.7494 0.9369  10 Cu 2.82-3.12

D(E_F)	1.9	states/eV/f.u.
total DFT energy (no corrections)	-32.8	eV/f.u.


# 4
This record from Alexandria describes Er2CuTc after structural relaxation. The functional is GGA-PBEsol.

Cell lengths 4.7355, 4.7355, 4.7355 Å; angles 60.00, 60.00, 60.00 degrees
Closest atoms and distances in Å follow each position.
Fractional coordinates of all 4 atoms:
Er: 0.7500 0.7500 0.7500  4 Tc 2.90, 4 Cu 2.90
Cu: 0.0000 0.0000 0.0000  8 Er 2.90
Tc: 0.5000 0.5000 0.5000  8 Er 2.90
Er: 0.2500 0.2500 0.2500  4 Tc 2.90, 4 Cu 2.90

D(E_F)	2.8	states/eV/f.u.
total DFT energy (no corrections)	-25.9	eV/f.u.


# 5
This record from Alexandria describes ErCu3Te3 after structural relaxation. The functional is GGA-PBEsol.

Cell lengths 7.2850, 7.2850, 8.0153 Å; angles 62.97, 62.97, 60.00 degrees
Closest atoms and distances in Å follow each position.
Fractional coordinates of all 14 atoms:
Cu: 0.0207 0.7467 0.8780  4 Te 2.56-2.69, 2 Cu 2.77
Cu: 0.9793 0.2533 0.1220  4 Te 2.56-2.69, 2 Cu 2.77
Er: 0.1628 0.1628 0.5116  6 Te 3.01-3.02, 3 Cu 3.34
Cu: 0.7467 0.3546 0.8780  4 Te 2.56-2.69, 2 Cu 2.77
Te: 0.4269 0.7255 0.7432  4 Cu 2.56-2.69
Cu: 0.2533 0.6454 0.1220  4 Te 2.56-2.69, 2 Cu 2.77
Te: 0.5731 0.2745 0.2568  4 Cu 2.56-2.69
Te: 0.1043 0.4269 0.7432  4 Cu 2.56-2.69
Cu: 0.3546 0.0207 0.8780  4 Te 2.56-2.69, 2 Cu 2.77
Te: 0.2745 0.8957 0.2568  4 Cu 2.56-2.69
Er: 0.8372 0.8372 0.4884  6 Te 3.01-3.02, 3 Cu 3.34
Cu: 0.6454 0.9793 0.1220  4 Te 2.56-2.69, 2 Cu 2.77
Te: 0.8957 0.5731 0.2568  4 Cu 2.56-2.69
Te: 0.7255 0.1043 0.7432  4 Cu 2.56-2.69

formation energy (no corrections)	-0.472	eV/atom
total DFT energy (no corrections)	-31.8	eV/f.u.


# 6
This record from Alexandria describes ErCu3Te3 after structural relaxation. The functional is GGA-PBEsol.

Cell lengths 6.7622, 7.5015, 12.5718 Å; angles 90.00, 90.00, 90.00 degrees
Closest atoms and distances in Å follow each position.
Fractional coordinates of all 28 atoms:
Cu: 0.1231 0.1260 0.0000  1 Cu 2.59, 4 Te 2.59-2.65
Cu: 0.6322 0.8823 0.8255  4 Te 2.56-2.67, 1 Cu 2.60
Te: 0.9893 0.4325 0.6622  4 Cu 2.56-2.67
Te: 0.5044 0.0459 0.0000  4 Cu 2.59-2.66
Er: 0.2559 0.7499 0.3398  2 Cu 2.89, 6 Te 2.99-3.06
Cu: 0.3799 0.3820 0.6747  4 Te 2.56-2.67, 1 Cu 2.60
Te: 0.5227 0.0671 0.3378  4 Cu 2.56-2.67
Cu: 0.8799 0.6180 0.1747  4 Te 2.56-2.67, 1 Cu 2.60
Te: 0.5227 0.0671 0.6622  4 Cu 2.56-2.67
Cu: 0.1322 0.1177 0.3255  4 Te 2.56-2.67, 1 Cu 2.60
Te: 0.0044 0.9541 0.5000  4 Cu 2.59-2.66
Cu: 0.1322 0.1177 0.6745  4 Te 2.56-2.67, 1 Cu 2.60
Cu: 0.8799 0.6180 0.8253  4 Te 2.56-2.67, 1 Cu 2.60
Te: 0.5069 0.5450 0.5000  4 Cu 2.59-2.66
Te: 0.4893 0.5675 0.1622  4 Cu 2.56-2.67
Er: 0.7559 0.2501 0.1602  2 Cu 2.89, 6 Te 2.99-3.06
Er: 0.2559 0.7499 0.6602  2 Cu 2.89, 6 Te 2.99-3.06
Te: 0.0227 0.9329 0.1622  4 Cu 2.56-2.67
Er: 0.7559 0.2501 0.8398  2 Cu 2.89, 6 Te 2.99-3.06
Te: 0.0227 0.9329 0.8378  4 Cu 2.56-2.67
Cu: 0.3876 0.3748 0.0000  1 Cu 2.59, 4 Te 2.59-2.64
Te: 0.4893 0.5675 0.8378  4 Cu 2.56-2.67
Cu: 0.3799 0.3820 0.3253  4 Te 2.56-2.67, 1 Cu 2.60
Te: 0.0069 0.4550 0.0000  4 Cu 2.59-2.66
Cu: 0.6322 0.8823 0.1745  4 Te 2.56-2.67, 1 Cu 2.60
Te: 0.9893 0.4325 0.3378  4 Cu 2.56-2.67
Cu: 0.8876 0.6252 0.5000  1 Cu 2.59, 4 Te 2.59-2.64
Cu: 0.6231 0.8740 0.5000  1 Cu 2.59, 4 Te 2.59-2.65

formation energy (no corrections)	-0.516	eV/atom
D(E_F)	0.0	states/eV/f.u.
total DFT energy (no corrections)	-32.1	eV/f.u.